1.
DFT (GGA-PBE) results for RbNaLa3 after structural relaxation.

Cell lengths 5.9584, 5.9584, 5.9584 Å; angles 90.00, 90.00, 90.00 degrees
With the nearest neighbours (Å) after each atom.
Element x y z (fractional)
Na 0.5000 0.5000 0.5000  12 La 4.21
La 0.5000 0.0000 0.0000  2 Rb 2.98
La 0.0000 0.0000 0.5000  2 Rb 2.98
La 0.0000 0.5000 0.0000  2 Rb 2.98
Rb 0.0000 0.0000 0.0000  6 La 2.98

Results
raw total energy = -11.9 eV/cell
space group = Pm-3m
energy above the lowest structure with this stoichiometry = 0.251 eV per atom

2.
DFT (GGA-PBE) results for RbNa3La after structural relaxation.

Cell lengths 6.2674, 6.2674, 6.2674 Å; angles 90.00, 90.00, 90.00 degrees
With the nearest neighbours (Å) after each atom.
Element x y z (fractional)
Na 0.0000 0.0000 0.5000  2 La 3.13
Na 0.0000 0.5000 0.0000  2 La 3.13
Na 0.5000 0.0000 0.0000  2 La 3.13
Rb 0.5000 0.5000 0.5000  12 Na 4.43
La 0.0000 0.0000 0.0000  6 Na 3.13

Results
raw total energy = -6.1 eV/cell
space group = Pm-3m

3.
DFT (GGA-PBE) results for RbNaLa3 after structural relaxation.

Cell lengths 6.1623, 6.1623, 6.1623 Å; angles 90.00, 90.00, 90.00 degrees
With the nearest neighbours (Å) after each atom.
Element x y z (fractional)
La 0.0000 0.5000 0.0000  2 Na 3.08
La 0.0000 0.0000 0.5000  2 Na 3.08
La 0.5000 0.0000 0.0000  2 Na 3.08
Rb 0.5000 0.5000 0.5000  12 La 4.36
Na 0.0000 0.0000 0.0000  6 La 3.08

Results
raw total energy = -13.2 eV/cell
space group = Pm-3m
energy above the lowest structure with this stoichiometry = 0.000 eV per atom

Ordered calculated formation energy results: 1029.4 743.7 778.2; unit meV/atom.